Material: MgPt2Rh
Method: DFT, meta-GGA SCAN
State: PBEsol geometry

V: 58.97 Å³ per cell
DFT total energy: -181.184 eV/cell
density of states at the Fermi level: 2.95 states/eV/cell
space group: Pmm2
energy of formation: -11.83 kcal/mol of atoms

Cell lengths 2.7774, 4.5249, 4.6923 Å; angles 90.00, 90.00, 90.00 degrees
Atoms (fractional coordinates):
Mg  0.0000  0.0000  0.0000
Pt  0.5000  0.0000  0.4926
Pt  0.5000  0.5000  0.8726
Rh  0.0000  0.5000  0.3823